No. 1
10
Lattice="7.279 0.000 0.000 0.000 8.627 0.000 0.000 -4.314 5.970" Properties=species:S:1:pos:R:3 comment="LaPm2PrNd | Alexandria via LeMat-Bulk | PBE-GGA | optimized geometry" dft_energy_ev_per_atom=-4.463 delta_e_f_ev_per_atom=0.33 pbc="T T T"
La 5.459 4.314 2.812
La 1.820 0.000 3.158
Pm 3.640 2.694 0.000
Pm 0.000 5.933 0.000
Pm 3.640 5.933 0.000
Pm 0.000 2.694 0.000
Pr 1.820 0.000 0.042
Pr 5.459 4.314 5.927
Nd 1.820 4.314 2.723
Nd 5.459 0.000 3.247



No. 2
12
Lattice="-1.239 3.171 -5.418 -4.590 -0.748 4.395 5.323 9.484 5.605" Properties=species:S:1:pos:R:3 comment="La2Pm3PrNd6 | Alexandria via LeMat-Bulk | PBE-GGA | optimized geometry" dft_energy_ev_per_atom=-4.777 delta_e_f_ev_per_atom=0.01 pbc="T T T"
La -3.473 0.558 1.124
La -2.356 1.864 -2.147
Pm -1.371 4.647 5.563
Pm 0.864 7.260 -0.981
Pm -0.253 5.954 2.291
Pr 0.000 0.000 0.000
Nd 0.171 9.556 1.788
Nd -3.035 4.215 0.647
Nd -0.677 2.351 2.794
Nd -0.946 8.250 5.058
Nd 2.528 7.692 3.935
Nd 0.439 3.657 -0.476



No. 3
9
Lattice="3.725 0.000 0.000 -1.863 9.666 -0.486 0.000 -3.846 9.117" Properties=species:S:1:pos:R:3 comment="La2Pm2PrNd4 | Alexandria via LeMat-Bulk | PBE-GGA | optimized geometry" dft_energy_ev_per_atom=-4.796 delta_e_f_ev_per_atom=0.01 pbc="T T T"
La 0.000 6.438 -0.317
La 1.863 -0.618 8.948
Pm 1.863 5.514 2.697
Pm 0.000 0.307 5.934
Pr 0.000 0.000 0.000
Nd 1.863 3.522 5.768
Nd 0.000 2.298 2.863
Nd 1.863 -0.926 3.034
Nd 0.000 6.746 5.597



No. 4
20
Lattice="-9.580 -3.182 0.375 1.828 -2.099 8.649 -2.144 8.609 -1.961" Properties=species:S:1:pos:R:3 comment="LaPmPr6Nd2 | Alexandria via LeMat-Bulk | PBE-GGA | optimized geometry" dft_energy_ev_per_atom=-4.681 delta_e_f_ev_per_atom=0.11 pbc="T T T"
La -2.933 3.482 2.424
La -6.964 -0.155 4.639
Pm -0.651 -2.669 8.519
Pm -9.245 5.997 -1.457
Pr -1.923 6.034 -0.457
Pr -5.703 5.679 0.599
Pr -7.973 -2.707 7.519
Pr -4.193 -2.351 6.463
Pr -2.153 0.621 7.742
Pr -0.764 -1.602 4.979
Pr -7.743 2.707 -0.680
Pr -9.132 4.930 2.084
Pr -0.940 2.413 5.152
Pr -3.346 0.294 3.914
Pr -8.956 0.914 1.911
Pr -6.550 3.033 3.149
Nd -4.427 2.976 5.787
Nd -0.289 0.889 2.131
Nd -5.469 0.351 1.276
Nd -9.607 2.438 4.931



No. 5
12
Lattice="6.431 -0.002 -0.003 -3.215 5.569 -0.003 -1.080 -1.870 12.103" Properties=species:S:1:pos:R:3 comment="La2PmPr6Nd3 | Alexandria via LeMat-Bulk | PBE-GGA | optimized geometry" dft_energy_ev_per_atom=-4.785 delta_e_f_ev_per_atom=0.01 pbc="T T T"
La -0.002 3.714 -0.003
La 3.218 1.854 -0.003
Pm 0.000 0.000 0.000
Pr 3.206 1.848 9.058
Pr 2.143 3.711 3.036
Pr -1.071 1.849 3.039
Pr -0.002 3.701 9.058
Pr -0.008 -0.014 9.061
Pr 2.137 -0.004 3.039
Nd -2.150 3.707 6.049
Nd 4.286 -0.010 6.049
Nd 1.068 1.849 6.049



No. 6
12
Lattice="3.473 0.000 0.000 0.000 6.806 0.000 0.000 0.000 18.247" Properties=species:S:1:pos:R:3 comment="LaPm2PrNd2 | Alexandria via LeMat-Bulk | PBE-GGA | optimized geometry" dft_energy_ev_per_atom=-4.556 delta_e_f_ev_per_atom=0.23 pbc="T T T"
La 0.000 0.000 0.000
La 1.737 3.403 9.124
Pm 1.737 5.294 6.357
Pm 1.737 1.512 11.890
Pm 0.000 4.916 15.481
Pm 0.000 1.891 2.766
Pr 1.737 3.403 0.000
Pr 0.000 0.000 9.124
Nd 1.737 1.855 5.801
Nd 0.000 5.258 3.322
Nd 1.737 4.952 12.446
Nd 0.000 1.548 14.925



No. 7
18
Lattice="8.967 0.000 0.000 0.000 8.967 0.000 -4.484 -4.484 8.043" Properties=species:S:1:pos:R:3 comment="LaPmPr2Nd5 | Alexandria via LeMat-Bulk | PBE-GGA | optimized geometry" dft_energy_ev_per_atom=-4.545 delta_e_f_ev_per_atom=0.24 pbc="T T T"
La 0.000 0.000 4.021
La 4.484 4.484 4.021
Pm 0.000 4.484 4.021
Pm 4.484 0.000 4.021
Pr 1.065 3.419 0.000
Pr 5.549 1.065 0.000
Pr 3.419 7.902 0.000
Pr 7.902 5.549 0.000
Nd 7.114 2.631 2.221
Nd 2.631 -1.853 5.822
Nd -2.631 1.853 5.822
Nd -1.853 -2.631 5.822
Nd 1.853 2.631 5.822
Nd 6.337 7.114 2.221
Nd 2.631 1.853 2.221
Nd 1.853 6.337 2.221
Nd 4.484 4.484 0.000
Nd 0.000 0.000 0.000



No. 8
12
Lattice="-2.261 -3.795 -4.685 -0.683 -1.733 6.164 -9.637 7.654 -0.052" Properties=species:S:1:pos:R:3 comment="La3PmPr6Nd2 | Alexandria via LeMat-Bulk | PBE-GGA | optimized geometry" dft_energy_ev_per_atom=-4.799 delta_e_f_ev_per_atom=0.01 pbc="T T T"
La -5.765 1.750 4.328
La -6.817 0.376 -2.902
La -6.291 1.063 0.713
Pm 0.000 0.000 0.000
Pr -9.723 1.264 -0.736
Pr -4.594 -2.246 1.095
Pr -2.858 0.863 2.162
Pr -9.197 1.951 2.878
Pr -7.988 4.373 0.331
Pr -3.384 0.176 -1.452
Nd -1.209 -2.420 2.548
Nd -1.735 -3.107 -1.069



No. 9
12
Lattice="5.225 0.000 0.000 0.000 8.183 -0.789 0.000 -3.949 10.302" Properties=species:S:1:pos:R:3 comment="LaPm3PrNd | Alexandria via LeMat-Bulk | PBE-GGA | optimized geometry" dft_energy_ev_per_atom=-4.772 delta_e_f_ev_per_atom=0.02 pbc="T T T"
La 3.919 4.345 6.611
La 1.306 -0.111 2.902
Pm 1.306 3.303 4.223
Pm 3.919 6.994 -0.265
Pm 3.919 2.248 1.853
Pm 3.919 0.931 5.290
Pm 1.306 1.986 7.660
Pm 1.306 -2.760 9.778
Pr 1.306 4.610 0.803
Pr 3.919 -0.376 8.710
Nd 1.306 -1.448 6.340
Nd 3.919 5.683 3.173



No. 10
20
Lattice="9.677 -2.331 -2.420 0.713 8.705 -2.031 0.713 -2.352 8.624" Properties=species:S:1:pos:R:3 comment="La2PmPrNd6 | Alexandria via LeMat-Bulk | PBE-GGA | optimized geometry" dft_energy_ev_per_atom=-4.692 delta_e_f_ev_per_atom=0.11 pbc="T T T"
La 5.532 4.306 3.406
La 0.731 1.943 0.954
La 5.570 -0.285 0.767
La 10.371 2.078 3.220
Pm 3.132 1.536 3.711
Pm 7.970 2.486 0.463
Pr 3.132 7.997 -2.515
Pr 7.970 -3.976 6.689
Nd 1.146 -0.837 5.981
Nd 5.118 -0.821 5.998
Nd 9.956 4.859 -1.808
Nd 5.984 4.843 -1.825
Nd 4.017 6.811 0.893
Nd 2.247 4.547 -1.456
Nd 7.085 -2.789 3.280
Nd 8.855 -0.525 5.629
Nd 2.020 4.646 2.557
Nd 4.244 2.804 0.645
Nd 9.083 -0.625 1.617
Nd 6.858 1.217 3.528



No. 11
20
Lattice="9.078 -1.556 -1.614 1.169 8.960 -1.916 1.169 -2.247 8.883" Properties=species:S:1:pos:R:3 comment="La6PmPr2Nd | Alexandria via LeMat-Bulk | PBE-GGA | optimized geometry" dft_energy_ev_per_atom=-4.764 delta_e_f_ev_per_atom=0.10 pbc="T T T"
La 1.831 -1.219 6.609
La 5.045 -0.715 7.132
La 9.584 6.376 -1.257
La 6.370 5.872 -1.781
La 3.477 -1.277 3.582
La 3.399 2.308 7.302
La 7.938 6.434 1.770
La 8.016 2.849 -1.950
La 2.194 5.365 2.250
La 4.682 3.885 0.715
La 9.221 -0.208 3.101
La 6.732 1.272 4.637
Pm 3.438 7.785 -1.563
Pm 7.977 -2.629 6.915
Pr 5.702 4.869 4.036
Pr 1.174 2.082 1.143
Pr 5.713 0.287 1.316
Pr 10.241 3.075 4.208
Nd 3.438 2.159 3.858
Nd 7.977 2.998 1.493



No. 12
18
Lattice="8.228 0.000 0.000 0.000 8.854 0.000 0.000 0.000 8.854" Properties=species:S:1:pos:R:3 comment="La2Pm5PrNd | Alexandria via LeMat-Bulk | PBE-GGA | optimized geometry" dft_energy_ev_per_atom=-4.560 delta_e_f_ev_per_atom=0.24 pbc="T T T"
La 4.114 5.479 1.052
La 4.114 1.052 3.375
La 4.114 7.802 5.479
La 4.114 3.375 7.802
Pm 4.114 4.427 4.427
Pm 4.114 0.000 0.000
Pm 1.824 1.907 6.334
Pm 1.824 6.947 2.520
Pm 1.824 2.520 1.907
Pm 1.824 6.334 6.947
Pm 6.404 1.907 6.334
Pm 6.404 6.334 6.947
Pm 6.404 6.947 2.520
Pm 6.404 2.520 1.907
Pr 0.000 0.000 4.427
Pr 0.000 4.427 0.000
Nd 0.000 4.427 4.427
Nd 0.000 0.000 0.000